{"formula": "TlSb2Pb4", "functional": "PBE", "state": "relaxed", "lattice": [[5.420, 0.775, 2.260], [3.137, 4.487, 2.260], [0.726, 0.446, 10.815]], "species": ["Tl", "Sb", "Sb", "Pb", "Pb", "Pb", "Pb"], "frac_coords": [[0.000, 0.000, 0.000], [0.731, 0.731, 0.723], [0.269, 0.269, 0.277], [0.911, 0.911, 0.391], [0.089, 0.089, 0.609], [0.642, 0.642, 0.146], [0.358, 0.358, 0.854]], "spacegroup": "C2/m, No. 12", "dos_at_fermi_per_ev_fu": 3.6, "magmom_total_mub_per_cell": 0.0, "formation_energy_uncorrected_ev_per_atom": 0.051, "total_energy_ev_per_cell": -25.09, "crystal_system": "monoclinic"}